No. 1
Below is a relaxed structure of BaTc2Br, with properties calculated at the GGA-PBE level.

The structure in POSCAR format:
```
BaTc2Br
1.0
-2.920 0.094 2.922
0.842 -0.811 3.963
0.911 7.068 2.853
Br Ba Tc
1 1 2
Cartesian
-0.285 1.325 2.181
-0.511 3.391 4.793
-0.677 5.910 7.584
0.633 5.969 2.903
```

## Properties
The calculation puts the total magnetic moment at 0.00 μB per formula unit. As for the formation energy without anion corrections: 0.131 eV per atom. The energy relative to the lowest polymorph listed for this composition comes out at 0 meV/atom.

***

No. 2
Below is a relaxed structure of CuAgPt2, with properties calculated at the GGA-PBE level.

The structure in POSCAR format:
```
CuAgPt2
1.0
0.000 3.136 3.136
3.136 0.000 3.136
3.136 3.136 0.000
Pt Ag Cu
2 1 1
Cartesian
4.704 4.704 4.704
1.568 1.568 1.568
3.136 3.136 3.136
0.000 0.000 0.000
```

## Properties
The calculation puts the total magnetic moment at 0.00 μB per formula unit. The energy relative to the lowest polymorph listed for this composition comes out at 236 meV/atom.

***

No. 3
Below is a relaxed structure of AcPaS3, with properties calculated at the GGA-PBE level.

The structure in POSCAR format:
```
AcPaS3
1.0
5.170 0.000 0.000
0.000 5.170 0.000
0.000 0.000 5.170
Ac Pa S
1 1 3
Cartesian
2.585 2.585 2.585
0.000 0.000 0.000
0.000 2.585 0.000
2.585 0.000 0.000
0.000 0.000 2.585
```

## Properties
The calculation puts the total magnetic moment at 0.25 μB per formula unit. As for the formation energy without anion corrections: -1.446 eV per atom. The energy relative to the lowest polymorph listed for this composition comes out at 410 meV/atom.

***

No. 4
Below is a relaxed structure of SrLaB, with properties calculated at the GGA-PBE level.

The structure in POSCAR format:
```
SrLaB
1.0
-5.349 2.699 -4.680
1.249 -7.076 -2.328
-1.792 -1.165 2.581
Sr La B
2 2 2
Cartesian
-3.023 -2.643 -1.074
-5.295 -0.237 -3.751
-5.492 -4.449 -3.615
-1.260 -5.626 -3.374
-0.823 -0.629 -0.813
-1.775 -0.786 0.630
```

## Properties
The calculation puts the total magnetic moment at 0.00 μB per formula unit. The energy relative to the lowest polymorph listed for this composition comes out at 14 meV/atom.

***

No. 5
Below is a relaxed structure of CdCu2Si2, with properties calculated at the GGA-PBE level.

The structure in POSCAR format:
```
CdCu2Si2
1.0
7.700 0.000 0.000
0.000 7.700 0.000
0.000 0.000 2.602
Si Cd Cu
4 2 4
Cartesian
6.708 4.842 0.000
4.842 0.992 0.000
0.992 2.858 0.000
2.858 6.708 0.000
3.850 3.850 0.000
0.000 0.000 0.000
2.581 1.269 1.301
1.269 5.119 1.301
6.431 2.581 1.301
5.119 6.431 1.301
```

## Properties
The calculation puts the total magnetic moment at 0.00 μB per formula unit. As for the formation energy without anion corrections: 0.232 eV per atom. The energy relative to the lowest polymorph listed for this composition comes out at 105 meV/atom.

***

No. 6
Below is a relaxed structure of UAsSe2N, with properties calculated at the GGA-PBE level.

The structure in POSCAR format:
```
UAsSe2N
1.0
3.857 0.000 0.000
0.000 3.857 0.000
0.000 0.000 13.365
As U Se N
2 2 4 2
Cartesian
0.000 1.929 11.916
1.929 0.000 1.449
0.000 1.929 5.506
1.929 0.000 7.859
0.000 1.929 1.432
1.929 0.000 4.046
1.929 0.000 11.933
0.000 1.929 9.320
1.929 1.929 6.683
0.000 0.000 6.683
```

## Properties
The calculation puts the total magnetic moment at 1.45 μB per formula unit. As for the formation energy without anion corrections: -0.819 eV per atom.

***

No. 7
Below is a relaxed structure of ZnAsAu2, with properties calculated at the GGA-PBE level.

The structure in POSCAR format:
```
ZnAsAu2
1.0
-0.087 -3.354 -3.258
3.474 -3.123 -0.234
-0.764 -4.445 1.239
Au As Zn
2 1 1
Cartesian
0.000 0.000 0.000
0.656 -2.730 -0.563
1.312 -5.461 -1.127
1.967 -8.191 -1.690
```

## Properties
The calculation puts the total magnetic moment at 0.00 μB per formula unit. The energy relative to the lowest polymorph listed for this composition comes out at 152 meV/atom.

***

No. 8
Below is a relaxed structure of PmRe4N8, with properties calculated at the GGA-PBE level.

The structure in POSCAR format:
```
PmRe4N8
1.0
5.818 0.000 0.000
2.909 5.038 0.000
2.909 1.679 5.959
Pm N Re
1 8 4
Cartesian
5.818 3.359 2.979
7.286 2.511 4.735
4.349 4.207 1.223
4.349 2.511 4.735
5.818 1.663 1.223
8.726 5.038 4.797
2.909 1.679 1.162
7.286 4.207 1.223
5.818 5.054 4.735
2.909 0.000 0.000
4.363 2.519 0.000
0.000 0.000 0.000
1.454 2.519 0.000
```

## Properties
The calculation puts the total magnetic moment at 0.00 μB per formula unit. As for the formation energy without anion corrections: 0.035 eV per atom.

***

No. 9
Below is a relaxed structure of Y3Mg12Sc, with properties calculated at the GGA-PBE level.

The structure in POSCAR format:
```
Y3Mg12Sc
1.0
-2.617 -3.704 0.828
3.786 -2.478 0.879
-1.059 4.782 18.042
Y Mg Sc
3 12 1
Cartesian
-0.529 2.391 9.021
-0.260 1.173 4.424
-0.799 3.610 13.618
0.325 -1.917 5.281
0.960 2.975 16.339
-1.434 -1.284 2.557
-2.241 2.363 16.314
1.229 1.761 11.760
-1.703 -0.070 7.136
1.767 -0.671 2.582
0.585 -3.091 0.854
-1.973 1.149 11.734
0.055 -0.700 9.875
-0.214 0.518 14.469
1.499 0.543 7.162
0.000 0.000 0.000
```

## Properties
For the calculated total energy, the calculation gives -2.875 eV/atom. The calculation puts the total magnetic moment at 0.00 μB per formula unit.

***

No. 10
Below is a relaxed structure of SrHg3Cl, with properties calculated at the GGA-PBE level.

The structure in POSCAR format:
```
SrHg3Cl
1.0
-1.367 -4.278 3.705
1.058 -3.937 -4.156
5.559 -0.303 1.702
Cl Hg Sr
1 3 1
Cartesian
0.000 0.000 0.000
0.529 -1.969 -2.078
2.780 -0.151 0.851
-0.684 -2.139 1.852
2.625 -4.259 0.625
```

## Properties
The calculation puts the total magnetic moment at 0.00 μB per formula unit. As for the formation energy without anion corrections: -0.108 eV per atom. The energy relative to the lowest polymorph listed for this composition comes out at 25 meV/atom.

***

No. 11
Below is a relaxed structure of LaZrCo3, with properties calculated at the GGA-PBE level.

The structure in POSCAR format:
```
LaZrCo3
1.0
-2.179 -2.731 -2.889
3.643 -0.051 -2.699
1.593 -3.618 2.219
Co Zr La
3 1 1
Cartesian
1.821 -0.026 -1.349
0.797 -1.809 1.110
-1.090 -1.366 -1.445
1.528 -3.201 -1.684
0.000 0.000 0.000
```

## Properties
The calculation puts the total magnetic moment at 0.00 μB per formula unit. The energy relative to the lowest polymorph listed for this composition comes out at 570 meV/atom.

***

No. 12
Below is a relaxed structure of NdDy2YSc4, with properties calculated at the GGA-PBE level.

The structure in POSCAR format:
```
NdDy2YSc4
1.0
-2.317 3.950 1.860
-3.265 -0.172 -3.701
-8.696 -5.738 1.353
Dy Sc Y Nd
2 4 1 1
Cartesian
-5.507 -0.894 1.607
-8.696 -5.738 1.353
-5.776 0.416 -1.511
-5.302 2.477 1.269
-8.502 -2.376 1.023
-8.976 -4.437 -1.757
-2.791 1.889 -0.920
-5.981 -2.955 -1.174
```

## Properties
For the calculated total energy, the calculation gives -5.665 eV/atom. The calculation puts the total magnetic moment at 0.00 μB per formula unit.

***

No. 13
Below is a relaxed structure of Ce2HoTmTl4, with properties calculated at the GGA-PBE level.

The structure in POSCAR format:
```
Ce2HoTmTl4
1.0
-5.003 -0.250 2.078
-3.230 -4.186 -1.205
0.389 -5.914 7.301
Tl Ce Tm Ho
4 2 1 1
Cartesian
-7.055 -6.103 3.507
-2.749 -6.836 6.712
-5.095 -3.515 1.463
-0.788 -4.248 4.667
-1.959 -2.590 2.048
-5.885 -7.760 6.127
-3.922 -5.175 4.087
0.000 0.000 0.000
```

## Properties
For the calculated total energy, the calculation gives -4.065 eV/atom. The calculation puts the total magnetic moment at 2.20 μB per formula unit.

***

No. 14
Below is a relaxed structure of BP2C3, with properties calculated at the GGA-PBE level.

The structure in POSCAR format:
```
BP2C3
1.0
-1.730 1.244 3.450
2.017 -0.672 3.455
1.480 4.177 1.593
C P B
3 2 1
Cartesian
1.430 2.180 2.394
2.452 3.855 4.424
2.613 2.797 5.468
0.249 1.219 3.556
0.845 1.992 5.603
1.858 3.545 2.982
```

## Properties
The calculation puts the total magnetic moment at 0.00 μB per formula unit. The energy relative to the lowest polymorph listed for this composition comes out at 422 meV/atom.

***

No. 15
Below is a relaxed structure of CaUNiSe4, with properties calculated at the GGA-PBE level.

The structure in POSCAR format:
```
CaUNiSe4
1.0
-6.627 -1.413 0.000
0.373 -1.749 5.584
0.661 7.884 2.426
U Se Ca Ni
2 8 2 2
Cartesian
-4.335 1.115 5.256
-1.258 3.608 2.753
0.746 4.082 7.331
-6.159 -0.203 3.371
0.566 4.926 4.639
-2.156 2.895 5.669
-3.066 5.624 3.505
-6.339 0.640 0.679
-3.437 1.827 2.341
-2.527 -0.901 4.504
-3.981 5.036 6.461
-1.612 -0.313 1.549
-4.434 3.760 3.013
-1.159 0.963 4.997
```

## Properties
The calculation puts the total magnetic moment at 1.22 μB per formula unit. As for the formation energy without anion corrections: -1.085 eV per atom.

***

No. 16
Below is a relaxed structure of PrHo2PuO8, with properties calculated at the GGA-PBE level.

The structure in POSCAR format:
```
PrHo2PuO8
1.0
5.117 -0.016 -0.003
0.021 5.122 -0.006
0.004 0.008 7.099
O Ho Pr Pu
8 2 1 1
Cartesian
0.975 4.156 1.511
1.641 1.624 3.547
3.712 3.699 7.093
0.978 4.160 5.577
1.430 1.414 -0.002
4.167 0.958 5.579
3.501 3.490 3.543
4.164 0.953 1.513
2.570 2.555 1.823
2.572 2.559 5.267
0.002 0.004 3.549
0.000 0.000 0.000
```

## Properties
The calculation puts the total magnetic moment at 1.02 μB per formula unit. As for the formation energy without anion corrections: -3.048 eV per atom.

***

No. 17
Below is a relaxed structure of KNa3Zn, with properties calculated at the GGA-PBE level.

The structure in POSCAR format:
```
KNa3Zn
1.0
5.894 0.000 0.000
0.000 5.894 0.000
0.000 0.000 5.894
Zn K Na
1 1 3
Cartesian
0.000 0.000 0.000
2.947 2.947 2.947
0.000 2.947 0.000
2.947 0.000 0.000
0.000 0.000 2.947
```

## Properties
The calculation puts the total magnetic moment at 0.00 μB per formula unit. The energy relative to the lowest polymorph listed for this composition comes out at 0 meV/atom.